Here is an optimized crystal structure of AcGa3Pd3 from the Alexandria database. Energies are from PBE.

Results
Theoretical density in Mg/m³: 8.83
Calculated total energy in eV for the cell shown: -196.7
Total moment in μB per cell: 0.0
Offset from the most stable computed form in eV per atom: 0.070

```
data_AcGa3Pd3
_chemical_formula_sum 'Ac6 Ga18 Pd18'
_cell_length_a 6.9263
_cell_length_b 6.9263
_cell_length_c 20.5188
_cell_angle_alpha 90.00
_cell_angle_beta 90.00
_cell_angle_gamma 120.00
_space_group_name_H-M_alt 'R -3'
_space_group_IT_number 148
_space_group_name_Hall '-R 3'
loop_
_atom_site_label
_atom_site_type_symbol
_atom_site_fract_x
_atom_site_fract_y
_atom_site_fract_z
Ac1 Ac 0.0000 0.0000 0.1614
Ga1 Ga 0.0214 0.4169 0.3737
Pd1 Pd 0.0066 0.2409 0.5824
```


Here is an optimized crystal structure of GdTmLuSc from the Alexandria database. Energies are from PBE.

Results
Theoretical density in Mg/m³: 7.79
Calculated total energy in eV for the cell shown: -116.0
Total moment in μB per cell: 28.9

```
data_GdTmLuSc
_chemical_formula_sum 'Gd4 Tm4 Lu4 Sc4'
_cell_length_a 7.7501
_cell_length_b 7.7501
_cell_length_c 7.7501
_cell_angle_alpha 90.00
_cell_angle_beta 90.00
_cell_angle_gamma 90.00
_space_group_name_H-M_alt 'F -4 3 m'
_space_group_IT_number 216
_space_group_name_Hall 'F -4 2 3'
loop_
_atom_site_label
_atom_site_type_symbol
_atom_site_fract_x
_atom_site_fract_y
_atom_site_fract_z
Gd1 Gd 0.0000 0.0000 0.0000
Tm1 Tm 0.0000 0.0000 0.5000
Lu1 Lu 0.2500 0.2500 0.7500
Sc1 Sc 0.2500 0.2500 0.2500
```


Here is an optimized crystal structure of Li2CaMg from the Alexandria database. Energies are from PBE.

Results
Theoretical density in Mg/m³: 1.24
Calculated total energy in eV for the cell shown: -14.8
Total moment in μB per cell: 0.0

```
data_Li2CaMg
_chemical_formula_sum 'Li4 Ca2 Mg2'
_cell_length_a 4.6159
_cell_length_b 4.6159
_cell_length_c 9.8204
_cell_angle_alpha 90.00
_cell_angle_beta 90.00
_cell_angle_gamma 90.00
_space_group_name_H-M_alt 'I -4 m 2'
_space_group_IT_number 119
_space_group_name_Hall 'I -4 -2'
loop_
_atom_site_label
_atom_site_type_symbol
_atom_site_fract_x
_atom_site_fract_y
_atom_site_fract_z
Li1 Li 0.0000 0.0000 0.0000
Li2 Li 0.0000 0.5000 0.2500
Ca1 Ca 0.0000 0.0000 0.5000
Mg1 Mg 0.0000 0.5000 0.7500
```